## TaAlPdPt2 (GGA-PBEsol)

Data for crystalline TaAlPdPt2 at its relaxed geometry.

a b c (Å): 4.1977 4.8042 4.8042
angles (deg): 90.00 90.00 90.00
Last column: magnetic moment on the atom in μB.
Fractional positions:
Al 0.5000 0.0000 0.0000  0.00
Ta 0.5000 0.5000 0.5000  0.63
Pt 0.0000 0.0000 0.5000  0.04
Pt 0.0000 0.5000 0.0000  0.04
Pd 0.0000 0.0000 0.0000  0.01

Properties
As for the total energy: -31.146 eV per cell. The symmetry is P4/mmm (123). The value obtained for the volume is 97 Å³ per cell.